1.
Density functional theory data (PBE) for crystalline BRu2O at its relaxed geometry.

Output
- total energy (eV per formula unit) = -28.860
- size of the total moment (Bohr magnetons per cell) = 0.0
- calculated volume (Å³ per atom) = 10.14
- SG = Fm-3m, No. 225

a = 3.8562 Å, b = 3.8562 Å, c = 3.8562 Å
α = 60.00°, β = 60.00°, γ = 60.00°
With the nearest neighbours (Å) after each atom.
Atoms (fractional coordinates):
Ru1 0.2500 0.2500 0.2500  4 O 2.36, 4 B 2.36
Ru2 0.7500 0.7500 0.7500  4 B 2.36, 4 O 2.36
B1 0.0000 0.0000 0.0000  8 Ru 2.36
O1 0.5000 0.5000 0.5000  8 Ru 2.36

***

2.
Density functional theory data (PBE) for crystalline YCd2Pb at its relaxed geometry.

Output
- total energy (eV per formula unit) = -12.160
- ΔE_f (eV per atom) = -0.0393
- size of the total moment (Bohr magnetons per cell) = 0.0
- calculated volume (Å³ per atom) = 27.60
- SG = R3m, No. 160

a = 10.3716 Å, b = 10.3716 Å, c = 10.3716 Å
α = 19.66°, β = 19.66°, γ = 19.66°
With the nearest neighbours (Å) after each atom.
Atoms (fractional coordinates):
Cd1 0.9967 0.9967 0.9967  3 Cd 3.08, 3 Y 3.27
Cd2 0.2546 0.2546 0.2546  3 Cd 3.08, 3 Pb 3.33
Pb1 0.5018 0.5018 0.5018  3 Cd 3.33, 3 Y 3.38, 6 Pb 3.54
Y1 0.7469 0.7469 0.7469  3 Cd 3.27, 3 Pb 3.38, 6 Y 3.54

***

3.
Density functional theory data (PBE) for crystalline LiP2RuCl at its relaxed geometry.

Output
- total energy (eV per formula unit) = -19.074
- size of the total moment (Bohr magnetons per cell) = 1.4
- calculated volume (Å³ per atom) = 16.31
- SG = P4/mmm, No. 123

a = 4.2788 Å, b = 4.2788 Å, c = 4.4543 Å
α = 90.00°, β = 90.00°, γ = 90.00°
With the nearest neighbours (Å) after each atom.
Atoms (fractional coordinates):
Ru1 0.5000 0.5000 0.5000  4 Cl 3.03, 8 P 3.09
Li1 0.0000 0.0000 0.0000  4 P 2.14, 2 Cl 2.23
P1 0.0000 0.5000 0.0000  2 Li 2.14
P2 0.5000 0.0000 0.0000  2 Li 2.14
Cl1 0.0000 0.0000 0.5000  2 Li 2.23

***

4.
Density functional theory data (PBE) for crystalline ErCdRhAu at its relaxed geometry.

Output
- total energy (eV per formula unit) = -18.411
- ΔE_f (eV per atom) = -0.5760
- size of the total moment (Bohr magnetons per cell) = 0.0
- calculated volume (Å³ per atom) = 19.47
- SG = F-43m, No. 216

a = 4.7938 Å, b = 4.7938 Å, c = 4.7938 Å
α = 60.00°, β = 60.00°, γ = 60.00°
With the nearest neighbours (Å) after each atom.
Atoms (fractional coordinates):
Rh1 0.5000 0.5000 0.5000  4 Er 2.94, 4 Cd 2.94
Cd1 0.7500 0.7500 0.7500  4 Rh 2.94, 4 Au 2.94
Au1 0.0000 0.0000 0.0000  4 Cd 2.94, 4 Er 2.94
Er1 0.2500 0.2500 0.2500  4 Au 2.94, 4 Rh 2.94

***

5.
Density functional theory data (PBE) for crystalline Tl2Cd2Hg at its relaxed geometry.

Output
- total energy (eV per formula unit) = -6.661
- ΔE_f (eV per atom) = 0.0407
- size of the total moment (Bohr magnetons per cell) = 0.0
- calculated volume (Å³ per atom) = 27.87
- SG = P4/mbm, No. 127

a = 7.7110 Å, b = 7.7110 Å, c = 4.6874 Å
α = 90.00°, β = 90.00°, γ = 90.00°
With the nearest neighbours (Å) after each atom.
Atoms (fractional coordinates):
Tl1 0.1692 0.6692 0.5000  6 Cd 3.17-3.33
Tl2 0.6692 0.8308 0.5000  6 Cd 3.17-3.33
Tl3 0.8308 0.3308 0.5000  6 Cd 3.17-3.33
Tl4 0.3308 0.1692 0.5000  6 Cd 3.17-3.33
Hg1 0.0000 0.0000 0.0000  4 Cd 3.00
Hg2 0.5000 0.5000 0.0000  4 Cd 3.00
Cd1 0.3645 0.8645 0.0000  1 Cd 2.96, 2 Hg 3.00, 2 Tl 3.17
Cd2 0.8645 0.6355 0.0000  1 Cd 2.96, 2 Hg 3.00, 2 Tl 3.17
Cd3 0.6355 0.1355 0.0000  1 Cd 2.96, 2 Hg 3.00, 2 Tl 3.17
Cd4 0.1355 0.3645 0.0000  1 Cd 2.96, 2 Hg 3.00, 2 Tl 3.17

***

6.
Density functional theory data (PBE) for crystalline Nd4Al16Ni3 at its relaxed geometry.

Output
- total energy (eV per formula unit) = -106.830
- ΔE_f (eV per atom) = -0.4580
- size of the total moment (Bohr magnetons per cell) = 0.0
- calculated volume (Å³ per atom) = 18.55
- SG = P4/mmm, No. 123

a = 6.1445 Å, b = 6.1445 Å, c = 11.3002 Å
α = 90.00°, β = 90.00°, γ = 90.00°
With the nearest neighbours (Å) after each atom.
Atoms (fractional coordinates):
Nd1 0.5000 0.0000 0.8077  12 Al 3.07-3.09
Nd2 0.0000 0.5000 0.1923  12 Al 3.07-3.09
Nd3 0.0000 0.5000 0.8077  12 Al 3.07-3.09
Nd4 0.5000 0.0000 0.1923  12 Al 3.07-3.09
Al1 0.0000 0.0000 0.7780  1 Ni 2.51
Al2 0.2798 0.2798 0.0000  1 Ni 2.43, 2 Al 2.71
Al3 0.5000 0.5000 0.8023  8 Al 2.94-3.00, 4 Nd 3.07
Al4 0.7202 0.2798 0.0000  1 Ni 2.43, 2 Al 2.71
Al5 0.5000 0.5000 0.1977  8 Al 2.94-3.00, 4 Nd 3.07
Al6 0.7202 0.7202 0.0000  1 Ni 2.43, 2 Al 2.71
Al7 0.0000 0.0000 0.2220  1 Ni 2.51
Al8 0.7460 0.7460 0.6163  2 Ni 2.54, 1 Al 2.63
Al9 0.7460 0.2540 0.3837  2 Ni 2.54, 1 Al 2.63
Al10 0.2540 0.2540 0.6163  2 Ni 2.54, 1 Al 2.63
Al11 0.2540 0.7460 0.3837  2 Ni 2.54, 1 Al 2.63
Al12 0.2798 0.7202 0.0000  1 Ni 2.43, 2 Al 2.71
Al13 0.7460 0.7460 0.3837  2 Ni 2.54, 1 Al 2.63
Al14 0.7460 0.2540 0.6163  2 Ni 2.54, 1 Al 2.63
Al15 0.2540 0.2540 0.3837  2 Ni 2.54, 1 Al 2.63
Al16 0.2540 0.7460 0.6163  2 Ni 2.54, 1 Al 2.63
Ni1 0.0000 0.5000 0.5000  8 Al 2.54
Ni2 0.0000 0.0000 0.0000  6 Al 2.43-2.51
Ni3 0.5000 0.0000 0.5000  8 Al 2.54

***

7.
Density functional theory data (PBE) for crystalline CsTeO3 at its relaxed geometry.

Output
- total energy (eV per formula unit) = -24.079
- size of the total moment (Bohr magnetons per cell) = 1.0
- calculated volume (Å³ per atom) = 21.40
- SG = Pnma, No. 62

a = 7.9595 Å, b = 7.9475 Å, c = 6.7657 Å
α = 90.00°, β = 90.00°, γ = 90.00°
With the nearest neighbours (Å) after each atom.
Atoms (fractional coordinates):
Cs1 0.0000 0.5000 0.0000  6 O 3.08-3.22, 2 Cs 3.38
Cs2 0.5000 0.0000 0.5000  6 O 3.08-3.22, 2 Cs 3.38
Cs3 0.5000 0.0000 0.0000  6 O 3.08-3.22, 2 Cs 3.38
Cs4 0.0000 0.5000 0.5000  6 O 3.08-3.22, 2 Cs 3.38
Te1 0.5103 0.4690 0.7500  3 O 1.84-1.98
Te2 0.9897 0.9690 0.2500  3 O 1.84-1.98
Te3 0.4897 0.5310 0.2500  3 O 1.84-1.98
Te4 0.0103 0.0310 0.7500  3 O 1.84-1.98
O1 0.8871 0.1129 0.0432  1 Te 1.98
O2 0.6129 0.6129 0.5432  1 Te 1.98
O3 0.6129 0.6129 0.9568  1 Te 1.98
O4 0.1129 0.8871 0.5432  1 Te 1.98
O5 0.1129 0.8871 0.9568  1 Te 1.98
O6 0.3871 0.3871 0.4568  1 Te 1.98
O7 0.3871 0.3871 0.0432  1 Te 1.98
O8 0.8871 0.1129 0.4568  1 Te 1.98
O9 0.6520 0.2867 0.7500  1 Te 1.84
O10 0.8480 0.7867 0.2500  1 Te 1.84
O11 0.3480 0.7133 0.2500  1 Te 1.84
O12 0.1520 0.2133 0.7500  1 Te 1.84